VASP calculation (PBE) on crystalline LaPdO2F at its relaxed geometry.

Cell and atoms, written as POSCAR:
```
LaPdO2F
1.0
-2.558 3.760 -0.791
-3.261 -2.627 -1.941
-2.022 -0.515 4.094
La Pd F O
1 1 1 2
Direct
0.000 0.000 0.000
0.500 0.500 0.500
0.000 0.000 0.500
0.500 0.000 0.000
0.000 0.500 0.000
```

## Properties
Mass density = 5.0 g cm⁻³
Formation energy without anion corrections = -686 kJ/mol of formula units
Calculated volume = 19.576 A^3/atom
Energy = -29.0 eV per cell
Total moment = 0.403 μB/atom